Compound: MnHg2Ir
Source: Alexandria
Functional: GGA-PBEsol
Structure: optimized geometry

abc: 4.5592 4.5592 4.5592
angles: 60.00 60.00 60.00
With the nearest neighbours (Å) after each atom.
Element x y z (fractional)
Hg 0.2500 0.2500 0.2500  4 Ir 2.79, 4 Mn 2.79
Hg 0.7500 0.7500 0.7500  4 Mn 2.79, 4 Ir 2.79
Ir 0.0000 0.0000 0.0000  8 Hg 2.79
Mn 0.5000 0.5000 0.5000  8 Hg 2.79

Properties
Symmetry ... Fm-3m, No. 225
ΔE_f ... 0.378 eV per atom
ρ ... 16.07 g/cm3